# PBE-GGA InBi2Pt2, optimized geometry
# total magnetization = 0.00 μB/atom
# DFT formation energy = -0.158 eV/atom
data_InBi2Pt2
_symmetry_space_group_name_H-M 'P 1'
_symmetry_Int_Tables_number 1
_cell_length_a 7.361
_cell_length_b 7.361
_cell_length_c 4.241
_cell_angle_alpha 90.00
_cell_angle_beta 90.00
_cell_angle_gamma 90.00
loop_
_symmetry_equiv_pos_as_xyz
'x,y,z'
loop_
_atom_site_label
_atom_site_type_symbol
_atom_site_fract_x
_atom_site_fract_y
_atom_site_fract_z
In1 In 0.000 0.000 0.000
In2 In 0.500 0.500 0.000
Bi1 Bi 0.164 0.336 0.500
Bi2 Bi 0.336 0.836 0.500
Bi3 Bi 0.664 0.164 0.500
Bi4 Bi 0.836 0.664 0.500
Pt1 Pt 0.138 0.638 0.000
Pt2 Pt 0.362 0.138 0.000
Pt3 Pt 0.638 0.862 0.000
Pt4 Pt 0.862 0.362 0.000

=====

# PBE-GGA InBi2Pt2, optimized geometry
# total magnetization = 0.00 μB/atom
# DFT formation energy = 0.029 eV/atom
data_InBi2Pt2
_symmetry_space_group_name_H-M 'P 1'
_symmetry_Int_Tables_number 1
_cell_length_a 8.555
_cell_length_b 8.555
_cell_length_c 3.254
_cell_angle_alpha 90.00
_cell_angle_beta 90.00
_cell_angle_gamma 90.00
loop_
_symmetry_equiv_pos_as_xyz
'x,y,z'
loop_
_atom_site_label
_atom_site_type_symbol
_atom_site_fract_x
_atom_site_fract_y
_atom_site_fract_z
In1 In 0.000 0.000 0.000
In2 In 0.500 0.500 0.000
Bi1 Bi 0.143 0.357 0.000
Bi2 Bi 0.357 0.857 0.000
Bi3 Bi 0.643 0.143 0.000
Bi4 Bi 0.857 0.643 0.000
Pt1 Pt 0.151 0.651 0.500
Pt2 Pt 0.349 0.151 0.500
Pt3 Pt 0.651 0.849 0.500
Pt4 Pt 0.849 0.349 0.500

=====

# PBE-GGA InBiPt2, optimized geometry
# total magnetization = 0.00 μB/atom
# DFT formation energy = -0.011 eV/atom
data_InBiPt2
_symmetry_space_group_name_H-M 'P 1'
_symmetry_Int_Tables_number 1
_cell_length_a 9.483
_cell_length_b 9.483
_cell_length_c 9.483
_cell_angle_alpha 152.64
_cell_angle_beta 152.64
_cell_angle_gamma 39.08
loop_
_symmetry_equiv_pos_as_xyz
'x,y,z'
loop_
_atom_site_label
_atom_site_type_symbol
_atom_site_fract_x
_atom_site_fract_y
_atom_site_fract_z
In1 In 0.000 0.000 0.000
In2 In 0.750 0.250 0.500
Bi1 Bi 0.250 0.750 0.500
Bi2 Bi 0.500 0.500 0.000
Pt1 Pt 0.119 0.625 0.994
Pt2 Pt 0.375 0.369 0.494
Pt3 Pt 0.631 0.125 0.006
Pt4 Pt 0.875 0.881 0.506

=====

# PBE-GGA InBi2Pt2, optimized geometry
# total magnetization = 0.00 μB/atom
# DFT formation energy = -0.076 eV/atom
data_InBi2Pt2
_symmetry_space_group_name_H-M 'P 1'
_symmetry_Int_Tables_number 1
_cell_length_a 8.761
_cell_length_b 8.761
_cell_length_c 8.761
_cell_angle_alpha 154.02
_cell_angle_beta 154.02
_cell_angle_gamma 37.08
loop_
_symmetry_equiv_pos_as_xyz
'x,y,z'
loop_
_atom_site_label
_atom_site_type_symbol
_atom_site_fract_x
_atom_site_fract_y
_atom_site_fract_z
In1 In 0.000 0.000 0.000
Bi1 Bi 0.372 0.372 0.000
Bi2 Bi 0.628 0.628 0.000
Pt1 Pt 0.250 0.750 0.500
Pt2 Pt 0.750 0.250 0.500

=====

# PBE-GGA InBi3Pt3, optimized geometry
# total magnetization = 0.00 μB/atom
# DFT formation energy = -0.182 eV/atom
data_InBi3Pt3
_symmetry_space_group_name_H-M 'P 1'
_symmetry_Int_Tables_number 1
_cell_length_a 7.580
_cell_length_b 7.580
_cell_length_c 7.186
_cell_angle_alpha 90.17
_cell_angle_beta 90.17
_cell_angle_gamma 121.57
loop_
_symmetry_equiv_pos_as_xyz
'x,y,z'
loop_
_atom_site_label
_atom_site_type_symbol
_atom_site_fract_x
_atom_site_fract_y
_atom_site_fract_z
In1 In 0.188 0.188 0.004
In2 In 0.812 0.812 0.996
Bi1 Bi 0.248 0.248 0.485
Bi2 Bi 0.261 0.739 0.500
Bi3 Bi 0.270 0.730 0.000
Bi4 Bi 0.730 0.270 0.000
Bi5 Bi 0.739 0.261 0.500
Bi6 Bi 0.752 0.752 0.515
Pt1 Pt 0.072 0.384 0.745
Pt2 Pt 0.384 0.072 0.745
Pt3 Pt 0.497 0.497 0.202
Pt4 Pt 0.503 0.503 0.798
Pt5 Pt 0.616 0.928 0.255
Pt6 Pt 0.928 0.616 0.255

=====

# PBE-GGA In3BiPt12, optimized geometry
# total magnetization = 0.00 μB/atom
# DFT formation energy = -0.309 eV/atom
data_In3BiPt12
_symmetry_space_group_name_H-M 'P 1'
_symmetry_Int_Tables_number 1
_cell_length_a 4.076
_cell_length_b 4.076
_cell_length_c 16.309
_cell_angle_alpha 90.00
_cell_angle_beta 90.00
_cell_angle_gamma 90.00
loop_
_symmetry_equiv_pos_as_xyz
'x,y,z'
loop_
_atom_site_label
_atom_site_type_symbol
_atom_site_fract_x
_atom_site_fract_y
_atom_site_fract_z
In1 In 0.000 0.000 0.000
In2 In 0.000 0.000 0.244
In3 In 0.000 0.000 0.756
Bi1 Bi 0.000 0.000 0.500
Pt1 Pt 0.000 0.500 0.123
Pt2 Pt 0.000 0.500 0.368
Pt3 Pt 0.000 0.500 0.632
Pt4 Pt 0.000 0.500 0.877
Pt5 Pt 0.500 0.000 0.123
Pt6 Pt 0.500 0.000 0.368
Pt7 Pt 0.500 0.000 0.632
Pt8 Pt 0.500 0.000 0.877
Pt9 Pt 0.500 0.500 0.000
Pt10 Pt 0.500 0.500 0.247
Pt11 Pt 0.500 0.500 0.500
Pt12 Pt 0.500 0.500 0.753

=====

# PBE-GGA Sc2InBiPt, optimized geometry
# total magnetization = 0.00 μB/atom
# DFT formation energy = 0.767 eV/atom
data_Sc2InBiPt
_symmetry_space_group_name_H-M 'P 1'
_symmetry_Int_Tables_number 1
_cell_length_a 5.380
_cell_length_b 5.380
_cell_length_c 5.469
_cell_angle_alpha 90.00
_cell_angle_beta 90.00
_cell_angle_gamma 90.00
loop_
_symmetry_equiv_pos_as_xyz
'x,y,z'
loop_
_atom_site_label
_atom_site_type_symbol
_atom_site_fract_x
_atom_site_fract_y
_atom_site_fract_z
Sc1 Sc 0.000 0.500 0.000
Sc2 Sc 0.500 0.000 0.000
In1 In 0.000 0.000 0.500
Bi1 Bi 0.000 0.000 0.000
Pt1 Pt 0.500 0.500 0.500

=====

# PBE-GGA InBi2PtSe, optimized geometry
# total magnetization = 0.00 μB/atom
# energy relative to the elements, uncorrected = 377.3 kJ/mol of formula units
data_InBi2PtSe
_symmetry_space_group_name_H-M 'P 1'
_symmetry_Int_Tables_number 1
_cell_length_a 5.477
_cell_length_b 5.477
_cell_length_c 5.273
_cell_angle_alpha 90.00
_cell_angle_beta 90.00
_cell_angle_gamma 90.00
loop_
_symmetry_equiv_pos_as_xyz
'x,y,z'
loop_
_atom_site_label
_atom_site_type_symbol
_atom_site_fract_x
_atom_site_fract_y
_atom_site_fract_z
In1 In 0.000 0.000 0.000
Bi1 Bi 0.000 0.500 0.500
Bi2 Bi 0.500 0.000 0.500
Pt1 Pt 0.500 0.500 0.000
Se1 Se 0.000 0.000 0.500

=====

# PBE-GGA InSn2Bi2Pt7, optimized geometry
# total magnetization = 0.00 μB/atom
# DFT formation energy = -0.331 eV/atom
data_InSn2Bi2Pt7
_symmetry_space_group_name_H-M 'P 1'
_symmetry_Int_Tables_number 1
_cell_length_a 16.563
_cell_length_b 16.563
_cell_length_c 16.563
_cell_angle_alpha 166.12
_cell_angle_beta 166.12
_cell_angle_gamma 19.67
loop_
_symmetry_equiv_pos_as_xyz
'x,y,z'
loop_
_atom_site_label
_atom_site_type_symbol
_atom_site_fract_x
_atom_site_fract_y
_atom_site_fract_z
In1 In 0.000 0.000 0.000
Sn1 Sn 0.381 0.381 0.000
Sn2 Sn 0.619 0.619 0.000
Bi1 Bi 0.213 0.213 0.000
Bi2 Bi 0.787 0.787 0.000
Pt1 Pt 0.064 0.564 0.500
Pt2 Pt 0.300 0.300 0.000
Pt3 Pt 0.436 0.936 0.500
Pt4 Pt 0.500 0.500 0.000
Pt5 Pt 0.564 0.064 0.500
Pt6 Pt 0.700 0.700 0.000
Pt7 Pt 0.936 0.436 0.500

=====

# PBE-GGA In2SnBiPt, optimized geometry
# total magnetization = 0.00 μB/atom
# DFT formation energy = -0.076 eV/atom
data_In2SnBiPt
_symmetry_space_group_name_H-M 'P 1'
_symmetry_Int_Tables_number 1
_cell_length_a 5.221
_cell_length_b 5.221
_cell_length_c 5.324
_cell_angle_alpha 90.00
_cell_angle_beta 90.00
_cell_angle_gamma 90.00
loop_
_symmetry_equiv_pos_as_xyz
'x,y,z'
loop_
_atom_site_label
_atom_site_type_symbol
_atom_site_fract_x
_atom_site_fract_y
_atom_site_fract_z
In1 In 0.000 0.500 0.000
In2 In 0.500 0.000 0.000
Sn1 Sn 0.000 0.000 0.500
Bi1 Bi 0.500 0.500 0.500
Pt1 Pt 0.000 0.000 0.000

=====

# PBE-GGA Sr2InBiPt, optimized geometry
# total magnetization = 0.00 μB/atom
# DFT formation energy = -0.666 eV/atom
data_Sr2InBiPt
_symmetry_space_group_name_H-M 'P 1'
_symmetry_Int_Tables_number 1
_cell_length_a 5.797
_cell_length_b 5.797
_cell_length_c 5.163
_cell_angle_alpha 90.00
_cell_angle_beta 90.00
_cell_angle_gamma 90.00
loop_
_symmetry_equiv_pos_as_xyz
'x,y,z'
loop_
_atom_site_label
_atom_site_type_symbol
_atom_site_fract_x
_atom_site_fract_y
_atom_site_fract_z
Sr1 Sr 0.000 0.500 0.000
Sr2 Sr 0.500 0.000 0.000
In1 In 0.000 0.000 0.500
Bi1 Bi 0.500 0.500 0.500
Pt1 Pt 0.000 0.000 0.000

=====

# PBE-GGA PuInBi, optimized geometry
# total magnetization = 2.08 μB/atom
# DFT formation energy = -0.117 eV/atom
data_PuInBi
_symmetry_space_group_name_H-M 'P 1'
_symmetry_Int_Tables_number 1
_cell_length_a 6.238
_cell_length_b 6.238
_cell_length_c 6.238
_cell_angle_alpha 143.55
_cell_angle_beta 143.55
_cell_angle_gamma 52.50
loop_
_symmetry_equiv_pos_as_xyz
'x,y,z'
loop_
_atom_site_label
_atom_site_type_symbol
_atom_site_fract_x
_atom_site_fract_y
_atom_site_fract_z
Pu1 Pu 0.000 0.000 0.000
In1 In 0.324 0.324 0.000
Bi1 Bi 0.680 0.680 0.000

=====

# PBE-GGA PuIn6Bi, optimized geometry
# total magnetization = 0.78 μB/atom
# DFT formation energy = -0.034 eV/atom
data_PuIn6Bi
_symmetry_space_group_name_H-M 'P 1'
_symmetry_Int_Tables_number 1
_cell_length_a 7.076
_cell_length_b 7.076
_cell_length_c 4.346
_cell_angle_alpha 90.00
_cell_angle_beta 90.00
_cell_angle_gamma 90.00
loop_
_symmetry_equiv_pos_as_xyz
'x,y,z'
loop_
_atom_site_label
_atom_site_type_symbol
_atom_site_fract_x
_atom_site_fract_y
_atom_site_fract_z
Pu1 Pu 0.000 0.000 0.000
In1 In 0.000 0.500 0.000
In2 In 0.251 0.251 0.500
In3 In 0.251 0.749 0.500
In4 In 0.500 0.000 0.000
In5 In 0.749 0.251 0.500
In6 In 0.749 0.749 0.500
Bi1 Bi 0.500 0.500 0.000

=====

# PBE-GGA Pu2In3Bi3, optimized geometry
# total magnetization = 1.41 μB/atom
# DFT formation energy = -0.257 eV/atom
data_Pu2In3Bi3
_symmetry_space_group_name_H-M 'P 1'
_symmetry_Int_Tables_number 1
_cell_length_a 4.774
_cell_length_b 4.971
_cell_length_c 9.327
_cell_angle_alpha 90.00
_cell_angle_beta 90.00
_cell_angle_gamma 90.00
loop_
_symmetry_equiv_pos_as_xyz
'x,y,z'
loop_
_atom_site_label
_atom_site_type_symbol
_atom_site_fract_x
_atom_site_fract_y
_atom_site_fract_z
Pu1 Pu 0.000 0.000 0.248
Pu2 Pu 0.000 0.000 0.752
In1 In 0.000 0.500 0.500
In2 In 0.500 0.500 0.259
In3 In 0.500 0.500 0.741
Bi1 Bi 0.000 0.500 0.000
Bi2 Bi 0.500 0.000 0.000
Bi3 Bi 0.500 0.000 0.500

=====

# PBE-GGA Pu2In9Bi, optimized geometry
# total magnetization = 0.97 μB/atom
# DFT formation energy = -0.103 eV/atom
data_Pu2In9Bi
_symmetry_space_group_name_H-M 'P 1'
_symmetry_Int_Tables_number 1
_cell_length_a 4.735
_cell_length_b 4.735
_cell_length_c 14.128
_cell_angle_alpha 90.00
_cell_angle_beta 90.00
_cell_angle_gamma 90.00
loop_
_symmetry_equiv_pos_as_xyz
'x,y,z'
loop_
_atom_site_label
_atom_site_type_symbol
_atom_site_fract_x
_atom_site_fract_y
_atom_site_fract_z
Pu1 Pu 0.000 0.000 0.165
Pu2 Pu 0.000 0.000 0.835
In1 In 0.000 0.500 0.000
In2 In 0.000 0.500 0.327
In3 In 0.000 0.500 0.673
In4 In 0.500 0.000 0.000
In5 In 0.500 0.000 0.327
In6 In 0.500 0.000 0.673
In7 In 0.500 0.500 0.160
In8 In 0.500 0.500 0.500
In9 In 0.500 0.500 0.840
Bi1 Bi 0.000 0.000 0.500

=====

# PBE-GGA PuIn2Bi2, optimized geometry
# total magnetization = 1.10 μB/atom
# DFT formation energy = -0.169 eV/atom
data_PuIn2Bi2
_symmetry_space_group_name_H-M 'P 1'
_symmetry_Int_Tables_number 1
_cell_length_a 13.404
_cell_length_b 13.404
_cell_length_c 4.642
_cell_angle_alpha 90.00
_cell_angle_beta 90.00
_cell_angle_gamma 160.15
loop_
_symmetry_equiv_pos_as_xyz
'x,y,z'
loop_
_atom_site_label
_atom_site_type_symbol
_atom_site_fract_x
_atom_site_fract_y
_atom_site_fract_z
Pu1 Pu 0.149 0.851 0.750
Pu2 Pu 0.851 0.149 0.250
In1 In 0.047 0.953 0.250
In2 In 0.455 0.545 0.250
In3 In 0.545 0.455 0.750
In4 In 0.953 0.047 0.750
Bi1 Bi 0.250 0.750 0.250
Bi2 Bi 0.358 0.642 0.750
Bi3 Bi 0.642 0.358 0.250
Bi4 Bi 0.750 0.250 0.750

=====

# PBE-GGA Pu8InBi6, optimized geometry
# total magnetization = 3.13 μB/atom
# DFT formation energy = -0.207 eV/atom
data_Pu8InBi6
_symmetry_space_group_name_H-M 'P 1'
_symmetry_Int_Tables_number 1
_cell_length_a 8.451
_cell_length_b 8.451
_cell_length_c 8.451
_cell_angle_alpha 68.14
_cell_angle_beta 68.14
_cell_angle_gamma 68.14
loop_
_symmetry_equiv_pos_as_xyz
'x,y,z'
loop_
_atom_site_label
_atom_site_type_symbol
_atom_site_fract_x
_atom_site_fract_y
_atom_site_fract_z
Pu1 Pu 0.113 0.718 0.415
Pu2 Pu 0.169 0.169 0.169
Pu3 Pu 0.282 0.585 0.887
Pu4 Pu 0.415 0.113 0.718
Pu5 Pu 0.585 0.887 0.282
Pu6 Pu 0.718 0.415 0.113
Pu7 Pu 0.831 0.831 0.831
Pu8 Pu 0.887 0.282 0.585
In1 In 0.500 0.500 0.500
Bi1 Bi 0.056 0.416 0.779
Bi2 Bi 0.221 0.944 0.584
Bi3 Bi 0.416 0.779 0.056
Bi4 Bi 0.584 0.221 0.944
Bi5 Bi 0.779 0.056 0.416
Bi6 Bi 0.944 0.584 0.221

=====

# PBE-GGA Pu2In3Bi2, optimized geometry
# total magnetization = 1.68 μB/atom
# DFT formation energy = -0.152 eV/atom
data_Pu2In3Bi2
_symmetry_space_group_name_H-M 'P 1'
_symmetry_Int_Tables_number 1
_cell_length_a 6.195
_cell_length_b 6.195
_cell_length_c 7.376
_cell_angle_alpha 93.38
_cell_angle_beta 93.38
_cell_angle_gamma 44.49
loop_
_symmetry_equiv_pos_as_xyz
'x,y,z'
loop_
_atom_site_label
_atom_site_type_symbol
_atom_site_fract_x
_atom_site_fract_y
_atom_site_fract_z
Pu1 Pu 0.144 0.144 0.410
Pu2 Pu 0.856 0.856 0.590
In1 In 0.000 0.000 0.000
In2 In 0.285 0.285 0.874
In3 In 0.715 0.715 0.126
Bi1 Bi 0.427 0.427 0.301
Bi2 Bi 0.573 0.573 0.699

=====

# PBE-GGA PuInBi, optimized geometry
# total magnetization = 2.04 μB/atom
# DFT formation energy = -0.108 eV/atom
data_PuInBi
_symmetry_space_group_name_H-M 'P 1'
_symmetry_Int_Tables_number 1
_cell_length_a 8.546
_cell_length_b 8.546
_cell_length_c 4.209
_cell_angle_alpha 90.00
_cell_angle_beta 90.00
_cell_angle_gamma 120.00
loop_
_symmetry_equiv_pos_as_xyz
'x,y,z'
loop_
_atom_site_label
_atom_site_type_symbol
_atom_site_fract_x
_atom_site_fract_y
_atom_site_fract_z
Pu1 Pu 0.000 0.615 0.000
Pu2 Pu 0.385 0.385 0.000
Pu3 Pu 0.615 0.000 0.000
In1 In 0.000 0.275 0.500
In2 In 0.275 0.000 0.500
In3 In 0.725 0.725 0.500
Bi1 Bi 0.000 0.000 0.000
Bi2 Bi 0.333 0.667 0.500
Bi3 Bi 0.667 0.333 0.500

=====

# PBE-GGA PuIn2Bi5, optimized geometry
# total magnetization = 0.72 μB/atom
# DFT formation energy = -0.054 eV/atom
data_PuIn2Bi5
_symmetry_space_group_name_H-M 'P 1'
_symmetry_Int_Tables_number 1
_cell_length_a 6.982
_cell_length_b 6.982
_cell_length_c 6.934
_cell_angle_alpha 119.67
_cell_angle_beta 119.67
_cell_angle_gamma 90.84
loop_
_symmetry_equiv_pos_as_xyz
'x,y,z'
loop_
_atom_site_label
_atom_site_type_symbol
_atom_site_fract_x
_atom_site_fract_y
_atom_site_fract_z
Pu1 Pu 0.000 0.000 0.000
In1 In 0.000 0.500 0.000
In2 In 0.500 0.000 0.000
Bi1 Bi 0.000 0.000 0.500
Bi2 Bi 0.000 0.500 0.500
Bi3 Bi 0.500 0.000 0.500
Bi4 Bi 0.500 0.500 0.000
Bi5 Bi 0.500 0.500 0.500